A relaxed Sc3TeSeS crystal, computed with PBE.

Cell lengths 6.3936, 6.4453, 7.5979 Å; angles 64.91, 83.10, 73.42 degrees
Sites, in units of the cell vectors:
Sc1 0.0040 0.1642 0.1333
Sc2 0.2502 0.2441 0.5109
Sc3 0.4963 0.7023 0.1333
Sc4 0.5037 0.2977 0.8667
Sc5 0.7498 0.7559 0.4891
Sc6 0.9960 0.8358 0.8667
Te1 0.2500 0.7501 0.5000
Te2 0.7500 0.2499 0.5000
Se1 0.2501 0.4352 0.1295
Se2 0.7499 0.5648 0.8705
S1 0.2498 0.0633 0.8737
S2 0.7502 0.9367 0.1263

## Properties
Formation energy from raw total energies ... -8.4 eV/f.u.
Fermi-level density of states ... 11.23 states/eV/cell